(1)
# La2MgIr, optimized geometry, DFT PBE
data_La2MgIr
_cell_length_a 4.219
_cell_length_b 5.575
_cell_length_c 9.359
_cell_angle_alpha 90.00
_cell_angle_beta 90.00
_cell_angle_gamma 90.00
_symmetry_space_group_name_H-M 'I m m m'
_symmetry_Int_Tables_number 71
_symmetry_space_group_name_Hall '-I 2 2'
loop_
_atom_site_label
_atom_site_fract_x
_atom_site_fract_y
_atom_site_fract_z
La1 0.000 0.000 0.201
Mg1 0.000 0.500 0.000
Ir1 0.000 0.500 0.500
# Total magnetization, μB per cell: 0.00
# Energy of formation, eV/atom: -0.328
# Calculated volume, Å³/f.u.: 110.08

(2)
# RbNaIr3, optimized geometry, DFT PBE
data_RbNaIr3
_cell_length_a 4.832
_cell_length_b 4.832
_cell_length_c 4.832
_cell_angle_alpha 90.00
_cell_angle_beta 90.00
_cell_angle_gamma 90.00
_symmetry_space_group_name_H-M 'P m -3 m'
_symmetry_Int_Tables_number 221
_symmetry_space_group_name_Hall '-P 4 2 3'
loop_
_atom_site_label
_atom_site_fract_x
_atom_site_fract_y
_atom_site_fract_z
Rb1 0.000 0.000 0.000
Na1 0.500 0.500 0.500
Ir1 0.000 0.500 0.500
# Total magnetization, μB per cell: 0.93
# Energy of formation, eV/atom: 2.307
# Calculated volume, Å³/f.u.: 112.81
# E above lowest polymorph, eV/f.u.: 0.00

(3)
# GaOsPb2S, optimized geometry, DFT PBE
data_GaOsPb2S
_cell_length_a 5.541
_cell_length_b 5.541
_cell_length_c 4.597
_cell_angle_alpha 90.00
_cell_angle_beta 90.00
_cell_angle_gamma 90.00
_symmetry_space_group_name_H-M 'P 4/m m m'
_symmetry_Int_Tables_number 123
_symmetry_space_group_name_Hall '-P 4 2'
loop_
_atom_site_label
_atom_site_fract_x
_atom_site_fract_y
_atom_site_fract_z
Ga1 0.000 0.000 0.000
Os1 0.000 0.000 0.500
Pb1 0.000 0.500 0.000
S1 0.500 0.500 0.500
# Formation energy without anion corrections, eV/atom: 1.094
# Total magnetization, μB per cell: 1.38
# Calculated volume, Å³/f.u.: 141.13